Here is an optimized crystal structure of SmGa3AgPd from Alexandria. Energies are from PBE.

Lattice parameters (Å, degrees): 7.1799 7.1799 6.1486 90.00 90.00 131.71
With the nearest neighbours (Å) after each atom.
Element x y z (fractional)
Sm (0.1996, 0.8004, 0.7500)  1 Pd 2.77, 2 Ga 3.07
Sm (0.8004, 0.1996, 0.2500)  1 Pd 2.77, 2 Ga 3.07
Ga (0.2154, 0.2154, 0.0000)  1 Ga 2.53, 2 Pd 2.55
Ga (0.2154, 0.2154, 0.5000)  1 Ga 2.53, 2 Pd 2.55
Ga (0.3687, 0.6313, 0.2500)  1 Ag 2.72, 4 Ga 2.85, 1 Pd 2.89
Ga (0.6313, 0.3687, 0.7500)  1 Ag 2.72, 4 Ga 2.85, 1 Pd 2.89
Ga (0.7846, 0.7846, 0.0000)  1 Ga 2.53, 2 Pd 2.55
Ga (0.7846, 0.7846, 0.5000)  1 Ga 2.53, 2 Pd 2.55
Ag (0.1609, 0.8391, 0.2500)  5 Ga 2.72-2.90
Ag (0.8391, 0.1609, 0.7500)  5 Ga 2.72-2.90
Pd (0.4110, 0.5890, 0.7500)  4 Ga 2.55, 1 Sm 2.77
Pd (0.5890, 0.4110, 0.2500)  4 Ga 2.55, 1 Sm 2.77

## Properties
ΔE_f = -0.363 eV/atom
mass density = 8.05 g/cm³
space group = Cmcm